BaGa3Au3 | PBE | optimized geometry

Lattice parameters (Å, degrees): 8.570 8.570 8.570 54.87 54.87 54.87
Sites, in units of the cell vectors:
Ba 0.167 0.167 0.167
Ba 0.833 0.833 0.833
Ga 0.066 0.710 0.388
Ga 0.290 0.612 0.934
Ga 0.388 0.066 0.710
Ga 0.612 0.934 0.290
Ga 0.710 0.388 0.066
Ga 0.934 0.290 0.612
Au 0.060 0.399 0.738
Au 0.262 0.940 0.601
Au 0.399 0.738 0.060
Au 0.601 0.262 0.940
Au 0.738 0.060 0.399
Au 0.940 0.601 0.262

Summary:
Energy of formation: -0.290 eV per atom
Fermi-level density of states: 9.360 states/eV/cell
Energy relative to the lowest polymorph listed for this composition: 88.1 meV/atom
Volume: 27.991 Å³ per atom